The following is a PBE+U calculation of a relaxed Na2MnBiO6 crystal, from the Alexandria database.

Computed properties:
N(E_F) (states/eV per atom): 0.585
Total DFT energy (no corrections) (eV/atom): -5.38

Lattice parameters (Å, degrees): 5.523 5.523 4.419 90.00 90.00 90.00
Space group P4mm (No. 99)
Symmetry-distinct sites (fractional):
Na  0.000  0.500  0.000
Mn  0.000  0.000  0.544
Bi  0.500  0.500  0.567
O  0.000  0.000  0.164
O  0.231  0.231  0.656
O  0.500  0.500  0.092